[1]
Below is Eu2PdI after structural relaxation, with properties calculated at the PBE level.

Lattice parameters (Å, degrees): 3.783 3.783 8.164 90.00 90.00 90.00
Space group P4/mmm (No. 123)
One atom of each set of equivalent atoms:
Eu: 0.000 0.000 0.212 (multiplicity 2)
Pd: 0.500 0.500 0.000 (multiplicity 1)
I: 0.500 0.500 0.500 (multiplicity 1)

Computed properties:
- Raw formation energy: -0.887 eV per atom
- V: 29.208 Å³/atom
- DOS(E_F): 2.839 states/eV/atom
- Relative energy among the computed polymorphs: 62 meV/atom

=====

[2]
Below is Ce4GeSeI2 after structural relaxation, with properties calculated at the PBE level.

Lattice parameters (Å, degrees): 7.408 4.333 7.840 90.00 108.88 90.00
Space group P2/m (No. 10)
One atom of each set of equivalent atoms:
Ce: 0.236 0.000 0.211 (multiplicity 2)
Ce: 0.262 0.500 0.788 (multiplicity 2)
Ge: 0.500 0.000 0.000 (multiplicity 1)
Se: 0.000 0.500 0.000 (multiplicity 1)
I: 0.000 0.000 0.500 (multiplicity 1)
I: 0.500 0.500 0.500 (multiplicity 1)

Computed properties:
- Raw formation energy: -1.094 eV per atom
- V: 29.766 Å³/atom
- DOS(E_F): 3.397 states/eV/atom